The following is a PBE calculation of a geometry-optimized U4GeH structure, from the Alexandria database.

a = 7.4055 Å, b = 7.4055 Å, c = 5.5939 Å
α = 100.32°, β = 100.32°, γ = 44.00°
Positions (direct):
U 0.0257 0.1614 0.0443
U 0.1584 0.4770 0.4038
U 0.1614 0.0257 0.5443
U 0.4770 0.1584 0.9038
U 0.5230 0.8416 0.0962
U 0.8386 0.9743 0.4557
U 0.8416 0.5230 0.5962
U 0.9743 0.8386 0.9557
Ge 0.4983 0.5017 0.7500
Ge 0.5017 0.4983 0.2500
H 0.0000 0.5000 0.0000
H 0.5000 0.0000 0.5000

Properties
VASP energy, eV per atom: -9.031